No. 1
The following is a GGA-PBE calculation of crystalline AcPr2Y6 at its relaxed geometry, from Alexandria via LeMat-Bulk.

The structure in extended XYZ format:
```
18
Lattice="6.0328 1.4788 1.4316 3.8126 11.2790 -1.5311 3.8126 -1.1648 11.3227" Properties=species:S:1:pos:R:3 pbc="T T T"
Ac 5.3208 2.3096 8.4736
Ac 8.3372 9.2834 2.7496
Pr 5.7231 6.3959 8.5701
Pr 4.9185 2.0808 4.3925
Pr 7.9348 5.1970 2.6532
Pr 8.7395 9.5122 6.8307
Y 6.3954 7.3935 5.2102
Y 4.2462 5.4066 3.2866
Y 7.2626 4.1995 6.0131
Y 9.4118 6.1864 7.9366
Y 10.7836 11.1887 4.5977
Y 5.8907 7.3745 0.9052
Y 2.8743 0.4043 6.6255
Y 7.7672 4.2185 10.3180
Y 8.0640 8.5235 10.1857
Y 2.5776 0.3970 2.3185
Y 5.5940 3.0695 1.0375
Y 11.0804 11.1959 8.9048
```

Summary:
Energy of formation   0.1124 eV/atom

No. 2
The following is a GGA-PBE calculation of crystalline BaLi2Pr at its relaxed geometry, from Alexandria via LeMat-Bulk.

The structure in extended XYZ format:
```
4
Lattice="-2.8823 -2.5285 1.3237 2.4971 -3.1452 -0.5707 2.8699 0.8500 7.8727" Properties=species:S:1:pos:R:3 pbc="T T T"
Pr -0.1926 -2.8368 0.3765
Ba 1.2423 -2.4118 4.3129
Li 2.2608 0.6696 6.2019
Li 0.6091 0.1804 1.6708
```

Summary:
Energy of formation   0.1439 eV/atom

No. 3
The following is a GGA-PBE calculation of crystalline NpSbTe at its relaxed geometry, from Alexandria via LeMat-Bulk.

The structure in extended XYZ format:
```
6
Lattice="-2.3357 3.2564 1.6194 -3.0028 -0.6410 -3.0421 -1.6071 -7.0790 6.1486" Properties=species:S:1:pos:R:3 pbc="T T T"
Np -3.1091 -4.1960 3.9531
Np -3.8366 -0.2676 0.7728
Sb -1.5014 -0.3205 -1.5211
Sb -1.1679 1.6282 0.8097
Te -1.5769 -2.1281 2.0049
Te -5.3688 -2.3355 2.7210
```

Summary:
Uncorrected formation energy   -0.53 eV/atom

Repeat the third record exactly.
The following is a GGA-PBE calculation of crystalline NpSbTe at its relaxed geometry, from Alexandria via LeMat-Bulk.

The structure in extended XYZ format:
```
6
Lattice="-2.3357 3.2564 1.6194 -3.0028 -0.6410 -3.0421 -1.6071 -7.0790 6.1486" Properties=species:S:1:pos:R:3 pbc="T T T"
Np -3.1091 -4.1960 3.9531
Np -3.8366 -0.2676 0.7728
Sb -1.5014 -0.3205 -1.5211
Sb -1.1679 1.6282 0.8097
Te -1.5769 -2.1281 2.0049
Te -5.3688 -2.3355 2.7210
```

Summary:
Uncorrected formation energy   -0.53 eV/atom